Entry 1:
Material: Re3Ge7
Method: DFT, meta-GGA SCAN
State: single point on PBEsol structure

Cell: 3.220 9.034 21.854 Å, 90.00 90.00 90.00°
Space group Cmcm (No. 63)
One atom of each set of equivalent atoms:
Re  0.000  0.020  0.250 (multiplicity 4)
Re  0.000  0.427  0.559 (multiplicity 8)
Ge  0.000  0.146  0.532 (multiplicity 8)
Ge  0.000  0.176  0.137 (multiplicity 8)
Ge  0.000  0.262  0.750 (multiplicity 4)
Ge  0.000  0.440  0.162 (multiplicity 8)

Crystal system: orthorhombic
Theoretical density, g cm⁻³: 11.2
DOS at the Fermi energy, states/eV per cell: 7.07
Size of the total moment, μB per atom: 0.000
ΔH_f (0 K), eV/atom: -0.0263

***

Entry 2:
Material: ReGe2Rh
Method: DFT, meta-GGA SCAN
State: single point on PBEsol structure

Cell: 6.068 6.068 6.068 Å, 90.00 90.00 90.00°
Space group Fm-3m (No. 225)
One atom of each set of equivalent atoms:
Re  0.000  0.000  0.000 (multiplicity 4)
Ge  0.250  0.250  0.250 (multiplicity 8)
Rh  0.000  0.000  0.500 (multiplicity 4)

Crystal system: cubic
Theoretical density, g cm⁻³: 12.9
DOS at the Fermi energy, states/eV per cell: 2.77
Size of the total moment, μB per atom: 0.000
ΔH_f (0 K), eV/atom: -0.0843

***

Entry 3:
Material: ReGe3Ru
Method: DFT, meta-GGA SCAN
State: single point on PBEsol structure

Cell: 4.648 4.648 4.648 Å, 90.00 90.00 90.00°
Space group Pm-3m (No. 221)
One atom of each set of equivalent atoms:
Re  0.000  0.000  0.000 (multiplicity 1)
Ge  0.000  0.500  0.500 (multiplicity 3)
Ru  0.500  0.500  0.500 (multiplicity 1)

Crystal system: cubic
Theoretical density, g cm⁻³: 8.4
DOS at the Fermi energy, states/eV per cell: 2.28
Size of the total moment, μB per atom: 0.664
ΔH_f (0 K), eV/atom: 1.2360

***

Entry 4:
Material: Sr2ReGeS
Method: DFT, meta-GGA SCAN
State: single point on PBEsol structure

Cell: 5.574 5.574 4.313 Å, 90.00 90.00 90.00°
Space group P4/mmm (No. 123)
One atom of each set of equivalent atoms:
Sr  0.000  0.500  0.000 (multiplicity 2)
Re  0.000  0.000  0.500 (multiplicity 1)
Ge  0.500  0.500  0.500 (multiplicity 1)
S  0.000  0.000  0.000 (multiplicity 1)

Crystal system: tetragonal
Theoretical density, g cm⁻³: 5.8
DOS at the Fermi energy, states/eV per cell: 3.80
Size of the total moment, μB per atom: 0.001
Raw formation energy, meV/atom: -109.7